ReSbNO | the Open Quantum Materials Database | GGA-PBE | optimized geometry; energy relative to the lowest polymorph listed for this composition = 708.3 meV/atom; M_tot = 0.03 μB/cell
1.0
4.298 0.000 0.000
0.000 4.298 0.000
0.000 0.000 5.768
N O Re Sb
2 2 2 2
direct
0.000 0.000 0.272
0.500 0.500 0.728
0.500 0.000 0.000
0.000 0.500 0.000
0.500 0.500 0.042
0.000 0.000 0.958
0.500 0.000 0.500
0.000 0.500 0.500

=====

ReSbNO | the Open Quantum Materials Database | GGA-PBE | optimized geometry; energy relative to the lowest polymorph listed for this composition = 243.9 meV/atom; M_tot = 1.37 μB/cell
1.0
3.879 0.000 0.000
0.000 3.879 0.000
0.000 0.000 7.555
N O Re Sb
2 2 2 2
direct
0.000 0.500 0.400
0.500 0.000 0.600
0.000 0.000 0.000
0.500 0.500 0.000
0.000 0.000 0.500
0.500 0.500 0.500
0.500 0.000 0.159
0.000 0.500 0.841

=====

ReSbNO | the Open Quantum Materials Database | GGA-PBE | optimized geometry; energy relative to the lowest polymorph listed for this composition = 169.9 meV/atom; M_tot = 0.03 μB/cell
1.0
6.291 0.000 0.000
0.000 7.312 0.000
0.000 0.000 4.966
N O Re Sb
4 4 4 4
direct
0.011 0.379 0.035
0.511 0.621 0.035
0.489 0.379 0.535
0.989 0.621 0.535
0.888 0.019 0.191
0.388 0.981 0.191
0.612 0.019 0.691
0.112 0.981 0.691
0.170 0.158 0.015
0.670 0.842 0.015
0.330 0.158 0.515
0.830 0.842 0.515
0.942 0.331 0.461
0.442 0.669 0.461
0.558 0.331 0.961
0.058 0.669 0.961

=====

ReSbNO | the Open Quantum Materials Database | GGA-PBE | optimized geometry; energy relative to the lowest polymorph listed for this composition = 9.4 meV/atom; M_tot = 0.00 μB/cell
1.0
6.706 0.000 0.000
0.000 6.356 0.000
0.000 0.000 5.743
N O Re Sb
4 4 4 4
direct
0.362 0.470 0.182
0.862 0.530 0.182
0.138 0.470 0.682
0.638 0.530 0.682
0.030 0.167 0.034
0.530 0.833 0.034
0.470 0.167 0.534
0.970 0.833 0.534
0.113 0.481 0.017
0.613 0.519 0.017
0.387 0.481 0.517
0.887 0.519 0.517
0.790 0.102 0.469
0.290 0.898 0.469
0.710 0.102 0.969
0.210 0.898 0.969

=====

ReSbNO | the Open Quantum Materials Database | GGA-PBE | optimized geometry; energy relative to the lowest polymorph listed for this composition = 685.8 meV/atom; M_tot = 0.00 μB/cell
1.0
-2.772 -2.086 2.559
2.088 -3.471 -1.475
3.659 0.383 4.276
N O Re Sb
2 2 2 2
direct
0.250 0.750 0.269
0.750 0.250 0.731
0.250 0.250 0.000
0.750 0.750 0.000
0.750 0.250 0.054
0.250 0.750 0.946
0.250 0.250 0.500
0.750 0.750 0.500

=====

ReSbNO | the Open Quantum Materials Database | GGA-PBE | optimized geometry; energy relative to the lowest polymorph listed for this composition = 0.0 meV/atom; M_tot = 0.00 μB/cell
1.0
5.888 0.000 0.000
0.000 2.927 0.000
0.000 0.000 7.197
N O Re Sb
2 2 2 2
direct
0.776 0.000 0.098
0.224 0.000 0.598
0.112 0.500 0.260
0.888 0.500 0.760
0.979 0.500 0.014
0.021 0.500 0.514
0.631 0.000 0.374
0.369 0.000 0.874